Material: RbLa2Sc2
Method: DFT, PBE-GGA
State: optimized geometry

Summary:
DFT formation energy = 2.1 eV per formula unit
Energy above the most stable polymorph in this dataset = 49 meV per atom

Unit cell a=10.2007 b=10.2007 c=3.5708 alpha=90.00 beta=90.00 gamma=90.00
With the nearest neighbours (Å) after each atom.
Fractional positions:
Rb 0.0000 0.0000 0.0000  2 Rb 3.57
Rb 0.5000 0.5000 0.0000  2 Rb 3.57
La 0.1241 0.3759 0.0000  6 Sc 3.40-3.62, 3 La 3.57-3.58
La 0.3759 0.8759 0.0000  6 Sc 3.40-3.62, 3 La 3.57-3.58
La 0.6241 0.1241 0.0000  6 Sc 3.40-3.62, 3 La 3.57-3.58
La 0.8759 0.6241 0.0000  6 Sc 3.40-3.62, 3 La 3.57-3.58
Sc 0.1575 0.6575 0.5000  6 La 3.40-3.62, 2 Sc 3.57
Sc 0.3425 0.1575 0.5000  6 La 3.40-3.62, 2 Sc 3.57
Sc 0.6575 0.8425 0.5000  6 La 3.40-3.62, 2 Sc 3.57
Sc 0.8425 0.3425 0.5000  6 La 3.40-3.62, 2 Sc 3.57